1.
## TcPtN (PBE-GGA)

Data for a geometry-optimized TcPtN structure.

Formation energy without anion corrections = 0.371 eV/atom
Energy above the most stable polymorph in this dataset = 301 meV/atom
Total energy = -7.87 eV per atom

a = 2.756 Å, b = 4.111 Å, c = 3.802 Å
α = 90.00°, β = 110.93°, γ = 90.00°
Space group Pm (No. 6)
One atom of each set of equivalent atoms:
Tc 0.000 0.000 0.000 [1 per cell]
Pt 0.733 0.500 0.476 [1 per cell]
N 0.702 0.000 0.409 [1 per cell]

2.
## TcTe2PtN (PBE-GGA)

Data for a geometry-optimized TcTe2PtN structure.

Formation energy without anion corrections = 0.957 eV/atom
Energy above the most stable polymorph in this dataset = 504 meV/atom
Total energy = -5.25 eV per atom

a = 5.534 Å, b = 5.534 Å, c = 3.657 Å
α = 90.00°, β = 90.00°, γ = 90.00°
Space group P4/mmm (No. 123)
One atom of each set of equivalent atoms:
Tc 0.000 0.000 0.000 [1 per cell]
Te 0.000 0.500 0.500 [2 per cell]
Pt 0.500 0.500 0.500 [1 per cell]
N 0.500 0.500 0.000 [1 per cell]

3.
## TcTePtN2 (PBE-GGA)

Data for a geometry-optimized TcTePtN2 structure.

Formation energy without anion corrections = 0.661 eV/atom
Energy above the most stable polymorph in this dataset = 0 meV/atom
Total energy = -6.58 eV per atom

a = 3.813 Å, b = 3.813 Å, c = 5.954 Å
α = 90.00°, β = 90.00°, γ = 90.00°
Space group P4/mmm (No. 123)
One atom of each set of equivalent atoms:
Tc 0.000 0.000 0.000 [1 per cell]
Te 0.000 0.000 0.500 [1 per cell]
Pt 0.500 0.500 0.500 [1 per cell]
N 0.000 0.500 0.000 [2 per cell]

4.
## TcTe2PtN (PBE-GGA)

Data for a geometry-optimized TcTe2PtN structure.

Formation energy without anion corrections = 0.453 eV/atom
Energy above the most stable polymorph in this dataset = 0 meV/atom
Total energy = -5.75 eV per atom

a = 5.287 Å, b = 5.287 Å, c = 3.667 Å
α = 90.00°, β = 90.00°, γ = 90.00°
Space group P4/mmm (No. 123)
One atom of each set of equivalent atoms:
Tc 0.000 0.000 0.000 [1 per cell]
Te 0.000 0.500 0.000 [2 per cell]
Pt 0.500 0.500 0.500 [1 per cell]
N 0.000 0.000 0.500 [1 per cell]

5.
## TcTePtN2 (PBE-GGA)

Data for a geometry-optimized TcTePtN2 structure.

Formation energy without anion corrections = 1.509 eV/atom
Energy above the most stable polymorph in this dataset = 847 meV/atom
Total energy = -5.73 eV per atom

a = 3.770 Å, b = 3.770 Å, c = 7.798 Å
α = 90.00°, β = 90.00°, γ = 90.00°
Space group P4/mmm (No. 123)
One atom of each set of equivalent atoms:
Tc 0.000 0.000 0.000 [1 per cell]
Te 0.500 0.500 0.000 [1 per cell]
Pt 0.500 0.500 0.500 [1 per cell]
N 0.000 0.500 0.500 [2 per cell]

6.
## Tc2PtWN (PBE-GGA)

Data for a geometry-optimized Tc2PtWN structure.

Formation energy without anion corrections = -0.114 eV/atom
Total energy = -9.72 eV per atom

a = 4.059 Å, b = 4.059 Å, c = 4.082 Å
α = 90.00°, β = 90.00°, γ = 90.00°
Space group P4/mmm (No. 123)
One atom of each set of equivalent atoms:
Tc 0.000 0.500 0.000 [2 per cell]
Pt 0.000 0.000 0.500 [1 per cell]
W 0.500 0.500 0.500 [1 per cell]
N 0.500 0.500 0.000 [1 per cell]